Below is crystalline Cd2BPt4 at its relaxed geometry, with properties calculated at the GGA-PBE level.

a = 4.1613 Å, b = 4.1613 Å, c = 7.6631 Å
α = 74.25°, β = 74.25°, γ = 90.00°
Closest atoms and distances in Å follow each position.
Fractional coordinates of all 7 atoms:
Pt 0.0000 0.5000 0.0000  2 B 2.08
Pt 0.8509 0.8509 0.2981  1 B 2.11
Pt 0.1491 0.1491 0.7019  1 B 2.11
Pt 0.5000 0.0000 0.0000  2 B 2.08
Cd 0.6560 0.6560 0.6879  9 Pt 2.76-3.03
Cd 0.3440 0.3440 0.3121  9 Pt 2.76-3.03
B 0.0000 0.0000 0.0000  6 Pt 2.08-2.11

* SG: No. 139
* energy of formation: -99 meV/atom
* total moment: 0.000 μB/f.u.
* Fermi-level density of states: 2.9 states/eV per cell